Entry from Alexandria: an optimized crystal structure of CsRb2CeI6 (PBE).

Properties
- formation energy from raw total energies (meV per atom) = -1462

abc: 8.8194 9.5825 12.8641
angles: 90.00 89.59 90.00
Last column: nearest neighbours and their distance in Å.
Fractional coordinates of all 20 atoms:
Cs1 0.5000 0.0000 0.0000  6 I 3.77-3.88
Cs2 0.0000 0.5000 0.5000  6 I 3.77-3.88
Rb1 0.0370 0.9111 0.2521  6 I 3.74-3.99
Rb2 0.5370 0.5889 0.7521  6 I 3.74-3.99
Rb3 0.9630 0.0889 0.7479  6 I 3.74-3.99
Rb4 0.4630 0.4111 0.2479  6 I 3.74-3.99
Ce1 0.5000 0.0000 0.5000  6 I 3.14-3.17
Ce2 0.0000 0.5000 0.0000  6 I 3.14-3.17
I1 0.2888 0.6691 0.0663  1 Ce 3.14
I2 0.7888 0.8309 0.5663  1 Ce 3.14
I3 0.7112 0.3309 0.9337  1 Ce 3.14
I4 0.2112 0.1691 0.4337  1 Ce 3.14
I5 0.3476 0.7220 0.4170  1 Ce 3.17
I6 0.8476 0.7780 0.9170  1 Ce 3.17
I7 0.6524 0.2780 0.5830  1 Ce 3.17
I8 0.1524 0.2220 0.0830  1 Ce 3.17
I9 0.8543 0.5618 0.2210  1 Ce 3.17
I10 0.3543 0.9382 0.7210  1 Ce 3.17
I11 0.1457 0.4382 0.7790  1 Ce 3.17
I12 0.6457 0.0618 0.2790  1 Ce 3.17

Entry from Alexandria: an optimized crystal structure of Na2HfTi2Te6 (PBE).

Properties
- formation energy from raw total energies (meV per atom) = -804

abc: 6.8971 6.8971 8.1863
angles: 97.94 97.94 120.05
Last column: nearest neighbours and their distance in Å.
Fractional coordinates of all 11 atoms:
Na1 0.8372 0.1628 0.0000  6 Te 3.22
Na2 0.1628 0.8372 0.0000  6 Te 3.22
Hf1 0.0000 0.0000 0.5000  6 Te 2.89-2.90
Ti1 0.3319 0.6681 0.5000  6 Te 2.83-2.84
Ti2 0.6681 0.3319 0.5000  6 Te 2.83-2.84
Te1 0.7277 0.7277 0.7138  2 Ti 2.84, 1 Hf 2.90
Te2 0.0730 0.4105 0.7154  2 Ti 2.83-2.84, 1 Hf 2.89
Te3 0.2723 0.2723 0.2862  2 Ti 2.84, 1 Hf 2.90
Te4 0.4105 0.0730 0.7154  2 Ti 2.83-2.84, 1 Hf 2.89
Te5 0.9270 0.5895 0.2846  2 Ti 2.83-2.84, 1 Hf 2.89
Te6 0.5895 0.9270 0.2846  2 Ti 2.83-2.84, 1 Hf 2.89

Entry from Alexandria: an optimized crystal structure of LaEr4Al5 (PBE).

Properties
- formation energy (eV per atom) = -0.387

abc: 3.6100 3.6100 18.0960
angles: 90.00 90.00 90.00
Last column: nearest neighbours and their distance in Å.
Fractional coordinates of all 10 atoms:
La1 0.0000 0.0000 0.0000  8 Al 3.29, 4 La 3.61
Er1 0.0000 0.0000 0.2096  8 Al 3.08-3.09
Er2 0.0000 0.0000 0.4034  8 Al 3.09-3.10
Er3 0.0000 0.0000 0.5966  8 Al 3.09-3.10
Er4 0.0000 0.0000 0.7904  8 Al 3.08-3.09
Al1 0.5000 0.5000 0.1146  4 Er 3.08, 4 La 3.29
Al2 0.5000 0.5000 0.3063  8 Er 3.09-3.10
Al3 0.5000 0.5000 0.5000  8 Er 3.09
Al4 0.5000 0.5000 0.6937  8 Er 3.09-3.10
Al5 0.5000 0.5000 0.8854  4 Er 3.08, 4 La 3.29

Entry from Alexandria: an optimized crystal structure of KSr2Rh (PBE).

Properties
- formation energy (eV per atom) = 0.169
- excess energy over the best structure of this formula in the dataset (eV per atom) = 0.244

abc: 5.6577 5.6577 5.6577
angles: 60.00 60.00 60.00
Last column: nearest neighbours and their distance in Å.
Fractional coordinates of all 4 atoms:
Sr1 0.2500 0.2500 0.2500  4 K 3.46, 4 Rh 3.46
Sr2 0.7500 0.7500 0.7500  4 K 3.46, 4 Rh 3.46
K1 0.0000 0.0000 0.0000  8 Sr 3.46
Rh1 0.5000 0.5000 0.5000  8 Sr 3.46

Entry from Alexandria: an optimized crystal structure of Ta2ReMo (PBE).

Properties
- formation energy (eV per atom) = -0.196
- excess energy over the best structure of this formula in the dataset (eV per atom) = 0.152

abc: 4.4716 2.8245 5.3347
angles: 80.70 90.00 90.00
Last column: nearest neighbours and their distance in Å.
Fractional coordinates of all 4 atoms:
Mo1 0.5000 0.2500 0.2500  4 Ta 2.76, 2 Re 2.81, 2 Mo 2.82
Re1 0.5000 0.7500 0.7500  4 Ta 2.75, 2 Mo 2.81, 2 Re 2.82
Ta1 0.0000 0.0011 0.9988  2 Re 2.75, 2 Mo 2.76, 4 Ta 2.80-2.82
Ta2 0.0000 0.4989 0.5012  2 Re 2.75, 2 Mo 2.76, 4 Ta 2.80-2.82

Entry from Alexandria: an optimized crystal structure of HfZr4Sc7 (PBE).

Properties
- formation energy (eV per atom) = 0.312
- excess energy over the best structure of this formula in the dataset (eV per atom) = 0.256

abc: 5.3800 8.2325 7.6539
angles: 69.00 69.42 70.93
Last column: nearest neighbours and their distance in Å.
Fractional coordinates of all 12 atoms:
Hf1 0.0000 0.0000 0.0000  2 Sc 2.69
Zr1 0.5371 0.2910 0.6349  4 Sc 2.81-3.03, 1 Zr 2.91
Zr2 0.4629 0.7090 0.3651  4 Sc 2.81-3.03, 1 Zr 2.91
Zr3 0.6845 0.6492 0.9818  5 Sc 2.77-3.10, 1 Zr 2.91
Zr4 0.3155 0.3508 0.0182  5 Sc 2.77-3.10, 1 Zr 2.91
Sc1 0.8014 0.8853 0.5120  7 Sc 3.21-3.51, 4 Zr 3.32-3.50, 1 Hf 3.53
Sc2 0.1986 0.1147 0.4880  7 Sc 3.21-3.51, 4 Zr 3.32-3.50, 1 Hf 3.53
Sc3 0.0777 0.5773 0.2672  3 Zr 2.83-3.03
Sc4 0.9223 0.4227 0.7328  3 Zr 2.83-3.03
Sc5 0.2689 0.7030 0.7592  4 Zr 2.81-3.10
Sc6 0.5000 0.0000 0.0000  2 Hf 2.69, 4 Zr 2.77-2.95
Sc7 0.7311 0.2970 0.2408  4 Zr 2.81-3.10

Entry from Alexandria: an optimized crystal structure of LiPbNF2 (PBE).

Properties
- excess energy over the best structure of this formula in the dataset (eV per atom) = 0.000
- formation energy from raw total energies (meV per atom) = -1017

abc: 3.7146 3.7146 4.4090
angles: 90.00 90.00 90.00
Last column: nearest neighbours and their distance in Å.
Fractional coordinates of all 5 atoms:
Pb1 0.5000 0.5000 0.5000  4 N 2.63, 8 F 2.88
N1 0.0000 0.0000 0.5000  2 Li 2.20
Li1 0.0000 0.0000 0.0000  4 F 1.86
F1 0.0000 0.5000 0.0000  2 Li 1.86
F2 0.5000 0.0000 0.0000  2 Li 1.86

Entry from Alexandria: an optimized crystal structure of Nd12ErHg6 (PBE).

Properties
- formation energy (eV per atom) = -0.178

abc: 9.2799 9.2799 9.2799
angles: 110.89 110.89 110.89
Last column: nearest neighbours and their distance in Å.
Fractional coordinates of all 19 atoms:
Nd1 0.8085 0.6574 0.5241  3 Hg 3.20-3.45, 4 Nd 3.42-3.55
Nd2 0.5241 0.8085 0.6574  3 Hg 3.20-3.45, 4 Nd 3.42-3.55
Nd3 0.6574 0.5241 0.8085  3 Hg 3.20-3.45, 4 Nd 3.42-3.55
Nd4 0.1915 0.3426 0.4759  3 Hg 3.20-3.45, 4 Nd 3.42-3.55
Nd5 0.4759 0.1915 0.3426  3 Hg 3.20-3.45, 4 Nd 3.42-3.55
Nd6 0.3426 0.4759 0.1915  3 Hg 3.20-3.45, 4 Nd 3.42-3.55
Nd7 0.9176 0.8327 0.2789  4 Hg 3.25-3.54, 5 Nd 3.42-3.63, 1 Er 3.62
Nd8 0.1673 0.7211 0.0824  4 Hg 3.25-3.54, 5 Nd 3.42-3.63, 1 Er 3.62
Nd9 0.7211 0.0824 0.1673  4 Hg 3.25-3.54, 5 Nd 3.42-3.63, 1 Er 3.62
Nd10 0.0824 0.1673 0.7211  4 Hg 3.25-3.54, 5 Nd 3.42-3.63, 1 Er 3.62
Nd11 0.8327 0.2789 0.9176  4 Hg 3.25-3.54, 5 Nd 3.42-3.63, 1 Er 3.62
Nd12 0.2789 0.9176 0.8327  4 Hg 3.25-3.54, 5 Nd 3.42-3.63, 1 Er 3.62
Er1 0.0000 0.0000 0.0000  12 Nd 3.62
Hg1 0.6401 0.9260 0.4116  7 Nd 3.20-3.54, 2 Hg 3.53
Hg2 0.5884 0.3599 0.0740  7 Nd 3.20-3.54, 2 Hg 3.53
Hg3 0.0740 0.5884 0.3599  7 Nd 3.20-3.54, 2 Hg 3.53
Hg4 0.3599 0.0740 0.5884  7 Nd 3.20-3.54, 2 Hg 3.53
Hg5 0.4116 0.6401 0.9260  7 Nd 3.20-3.54, 2 Hg 3.53
Hg6 0.9260 0.4116 0.6401  7 Nd 3.20-3.54, 2 Hg 3.53

Q: Which calculated density values were calculated for the entries above? A: 3.68; 5.57; 6.64; 4.11; 16.08; 4.94; 7.26; 8.87, in Mg/m³.